Record 1
Material: KZrZn2
Method: DFT, PBE-GGA
State: relaxed

The structure in POSCAR format:
```
KZrZn2
1.0
9.1599 0.0000 0.0000
0.0000 3.0900 0.0000
-0.9558 0.0000 7.5255
K Zr Zn
2 2 4
Direct
0.0000 0.0000 0.0000 K
0.5000 0.5000 0.0000 K
0.0000 0.5000 0.5000 Zr
0.5000 0.0000 0.5000 Zr
0.2402 0.0000 0.6656 Zn
0.2598 0.5000 0.3344 Zn
0.7402 0.5000 0.6656 Zn
0.7598 0.0000 0.3344 Zn
```

The value obtained for the formation energy is 0.28 eV/atom. Its symmetry is No. 12. The offset from the most stable computed form is 0.209 eV per atom. Its crystal system is monoclinic. The calculation puts the uncorrected energy at -2.77 eV per atom.

---

Record 2
Material: TaAl2Os
Method: DFT, PBE-GGA
State: relaxed

The structure in POSCAR format:
```
TaAl2Os
1.0
3.9648 0.0000 0.0000
0.0000 3.9648 0.0000
0.0000 0.0000 7.8437
Ta Al Os
2 4 2
Direct
0.0000 0.0000 0.0000 Ta
0.5000 0.5000 0.5000 Ta
0.0000 0.0000 0.5000 Al
0.0000 0.5000 0.2500 Al
0.5000 0.0000 0.7500 Al
0.5000 0.5000 0.0000 Al
0.0000 0.5000 0.7500 Os
0.5000 0.0000 0.2500 Os
```

The value obtained for the formation energy is -0.30 eV/atom. Its symmetry is No. 119. The offset from the most stable computed form is 0.082 eV per atom. Its crystal system is tetragonal. The calculation puts the uncorrected energy at -7.95 eV per atom.

---

Record 3
Material: Cr2ReW
Method: DFT, PBE-GGA
State: relaxed

The structure in POSCAR format:
```
Cr2ReW
1.0
2.7815 0.0000 0.0000
-1.3907 2.4088 0.0000
0.0000 0.0000 25.0566
Cr Re W
6 3 3
Direct
0.0000 0.0000 0.0000 Cr
0.0000 0.0000 0.2634 Cr
0.3333 0.6667 0.6667 Cr
0.3333 0.6667 0.9301 Cr
0.6667 0.3333 0.3333 Cr
0.6667 0.3333 0.5968 Cr
0.0000 0.0000 0.7505 Re
0.3333 0.6667 0.4171 Re
0.6667 0.3333 0.0838 Re
0.0000 0.0000 0.5092 W
0.3333 0.6667 0.1759 W
0.6667 0.3333 0.8426 W
```

The value obtained for the formation energy is 0.35 eV/atom. Its symmetry is No. 160. Its crystal system is trigonal. The calculation puts the uncorrected energy at -10.81 eV per atom.